Model P:
A relaxed CuOsN2F crystal. Source: the Alexandria database, functional PBE.

Lattice parameters (Å, degrees): 3.8417 3.8417 3.6521 90.00 90.00 90.00
Last column: magnetic moment on the atom in μB.
Fractional positions:
N (0.0000, 0.5000, 0.0000)  -0.01
N (0.5000, 0.0000, 0.0000)  -0.01
Os (0.5000, 0.5000, 0.5000)  2.50
Cu (0.0000, 0.0000, 0.0000)  0.04
F (0.0000, 0.0000, 0.5000)  0.09

DOS(E_F): 0.813 states/eV per atom


Model Q:
A relaxed CuOsN2F crystal. Source: the Alexandria database, functional PBE.

Lattice parameters (Å, degrees): 3.7999 3.7999 4.3330 90.00 90.00 90.00
Last column: magnetic moment on the atom in μB.
Fractional positions:
N (0.0000, 0.5000, 0.0000)  0.11
N (0.5000, 0.0000, 0.0000)  0.11
Os (0.0000, 0.0000, 0.0000)  -0.02
Cu (0.5000, 0.5000, 0.5000)  0.02
F (0.0000, 0.0000, 0.5000)  0.00

DOS(E_F): 0.383 states/eV per atom


Q: What are the energies relative to the best structure? A: model P 104.1; model Q 0.0, in kJ/mol of atoms.


Model P:
A relaxed CuPNF2 crystal. Source: the Alexandria database, functional PBE.

Lattice parameters (Å, degrees): 4.2423 4.2423 3.3033 90.00 90.00 90.00
Fractional positions:
P (0.0000, 0.0000, 0.0000)
N (0.0000, 0.0000, 0.5000)
Cu (0.5000, 0.5000, 0.5000)
F (0.0000, 0.5000, 0.0000)
F (0.5000, 0.0000, 0.0000)

DOS(E_F): 0.232 states/eV per atom


Model Q:
A relaxed CuPNF2 crystal. Source: the Alexandria database, functional PBE.

Lattice parameters (Å, degrees): 3.6966 3.6966 4.3562 90.00 90.00 90.00
Last column: magnetic moment on the atom in μB.
Fractional positions:
P (0.5000, 0.5000, 0.5000)  0.34
N (0.0000, 0.0000, 0.5000)  -0.26
Cu (0.0000, 0.0000, 0.0000)  -0.09
F (0.0000, 0.5000, 0.0000)  0.02
F (0.5000, 0.0000, 0.0000)  0.02

DOS(E_F): 0.547 states/eV per atom


Q: What are the energies relative to the best structure? A: model P 0.0; model Q 48.8, in kJ/mol of atoms.


Model P:
A relaxed CuPtN2F crystal. Source: the Alexandria database, functional PBE.

Lattice parameters (Å, degrees): 3.8843 3.8843 3.6312 90.00 90.00 90.00
Fractional positions:
N (0.0000, 0.5000, 0.0000)
N (0.5000, 0.0000, 0.0000)
Cu (0.0000, 0.0000, 0.0000)
Pt (0.5000, 0.5000, 0.5000)
F (0.0000, 0.0000, 0.5000)

DOS(E_F): 0.872 states/eV per atom


Model Q:
A relaxed CuPtN2F crystal. Source: the Alexandria database, functional PBE.

Lattice parameters (Å, degrees): 3.6968 3.6968 5.9276 90.00 90.00 90.00
Fractional positions:
N (0.0000, 0.5000, 0.0000)
N (0.5000, 0.0000, 0.0000)
Cu (0.5000, 0.5000, 0.5000)
Pt (0.0000, 0.0000, 0.0000)
F (0.0000, 0.0000, 0.5000)

DOS(E_F): 0.743 states/eV per atom


Q: What are the energies relative to the best structure? A: model P 36.9; model Q 0.0, in kJ/mol of atoms.


Model P:
A relaxed CuRhN2F crystal. Source: the Alexandria database, functional PBE.

Lattice parameters (Å, degrees): 3.8160 3.8160 3.6838 90.00 90.00 90.00
Last column: magnetic moment on the atom in μB.
Fractional positions:
N (0.0000, 0.5000, 0.0000)  0.02
N (0.5000, 0.0000, 0.0000)  0.02
Rh (0.5000, 0.5000, 0.5000)  0.55
Cu (0.0000, 0.0000, 0.0000)  0.04
F (0.0000, 0.0000, 0.5000)  0.04

DOS(E_F): 1.331 states/eV per atom


Model Q:
A relaxed CuRhN2F crystal. Source: the Alexandria database, functional PBE.

Lattice parameters (Å, degrees): 3.7947 3.7947 4.3728 90.00 90.00 90.00
Last column: magnetic moment on the atom in μB.
Fractional positions:
N (0.0000, 0.5000, 0.0000)  0.13
N (0.5000, 0.0000, 0.0000)  0.13
Rh (0.0000, 0.0000, 0.0000)  0.03
Cu (0.5000, 0.5000, 0.5000)  0.02
F (0.0000, 0.0000, 0.5000)  0.01

DOS(E_F): 0.713 states/eV per atom


Q: What are the energies relative to the best structure? A: model P 36.7; model Q 0.0, in kJ/mol of atoms.


Model P:
A relaxed CuSNF2 crystal. Source: the Alexandria database, functional PBE.

Lattice parameters (Å, degrees): 4.4304 4.4304 3.3001 90.00 90.00 90.00
Last column: magnetic moment on the atom in μB.
Fractional positions:
S (0.0000, 0.0000, 0.0000)  0.00
N (0.0000, 0.0000, 0.5000)  0.00
Cu (0.5000, 0.5000, 0.5000)  0.11
F (0.0000, 0.5000, 0.0000)  0.00
F (0.5000, 0.0000, 0.0000)  0.00

DOS(E_F): 1.494 states/eV per atom


Model Q:
A relaxed CuSNF2 crystal. Source: the Alexandria database, functional PBE.

Lattice parameters (Å, degrees): 3.7296 3.7296 4.3312 90.00 90.00 90.00
Last column: magnetic moment on the atom in μB.
Fractional positions:
S (0.5000, 0.5000, 0.5000)  0.72
N (0.0000, 0.0000, 0.5000)  -0.33
Cu (0.0000, 0.0000, 0.0000)  -0.09
F (0.0000, 0.5000, 0.0000)  0.06
F (0.5000, 0.0000, 0.0000)  0.06

DOS(E_F): 0.499 states/eV per atom


Q: What are the energies relative to the best structure? A: model P 0.0; model Q 16.5, in kJ/mol of atoms.


Model P:
A relaxed CuS2NF crystal. Source: the Alexandria database, functional PBE.

Lattice parameters (Å, degrees): 4.0382 4.0254 4.0382 90.00 90.00 90.00
Fractional positions:
S (0.0000, 0.0000, 0.5000)
S (0.5000, 0.0000, 0.0000)
N (0.0000, 0.0000, 0.0000)
Cu (0.0000, 0.5000, 0.0000)
F (0.5000, 0.5000, 0.5000)

DOS(E_F): 0.692 states/eV per atom


Model Q:
A relaxed CuS2NF crystal. Source: the Alexandria database, functional PBE.

Lattice parameters (Å, degrees): 4.3775 4.3775 3.7570 90.00 90.00 90.00
Fractional positions:
S (0.0000, 0.5000, 0.0000)
S (0.5000, 0.0000, 0.0000)
N (0.0000, 0.0000, 0.5000)
Cu (0.5000, 0.5000, 0.5000)
F (0.0000, 0.0000, 0.0000)

DOS(E_F): 1.141 states/eV per atom


Model R:
A relaxed CuS2NF crystal. Source: the Alexandria database, functional PBE.

Lattice parameters (Å, degrees): 4.6567 4.6567 3.5963 90.00 90.00 90.00
Last column: magnetic moment on the atom in μB.
Fractional positions:
S (0.0000, 0.5000, 0.0000)  0.17
S (0.5000, 0.0000, 0.0000)  0.17
N (0.0000, 0.0000, 0.5000)  0.80
Cu (0.0000, 0.0000, 0.0000)  0.13
F (0.5000, 0.5000, 0.5000)  0.19

DOS(E_F): 1.082 states/eV per atom


Q: What are the energies relative to the best structure? A: model P 0.0; model Q 90.5; model R 37.3, in kJ/mol of atoms.


Model P:
A relaxed CuSeN2F crystal. Source: the Alexandria database, functional PBE.

Lattice parameters (Å, degrees): 3.8944 3.8944 3.7245 90.00 90.00 90.00
Fractional positions:
N (0.0000, 0.5000, 0.0000)
N (0.5000, 0.0000, 0.0000)
Cu (0.0000, 0.0000, 0.0000)
Se (0.5000, 0.5000, 0.5000)
F (0.0000, 0.0000, 0.5000)

DOS(E_F): 0.658 states/eV per atom


Model Q:
A relaxed CuSeN2F crystal. Source: the Alexandria database, functional PBE.

Lattice parameters (Å, degrees): 3.7148 3.7148 5.4171 90.00 90.00 90.00
Last column: magnetic moment on the atom in μB.
Fractional positions:
N (0.0000, 0.5000, 0.0000)  1.23
N (0.5000, 0.0000, 0.0000)  1.23
Cu (0.5000, 0.5000, 0.5000)  0.04
Se (0.0000, 0.0000, 0.5000)  -0.07
F (0.0000, 0.0000, 0.0000)  -0.05

DOS(E_F): 0.543 states/eV per atom


Q: What are the energies relative to the best structure? A: model P 0.0; model Q 97.2, in kJ/mol of atoms.


Model P:
A relaxed CuSeN2F crystal. Source: the Alexandria database, functional PBE.

Lattice parameters (Å, degrees): 3.8229 3.8229 4.1816 90.00 90.00 90.00
Fractional positions:
N (0.0000, 0.5000, 0.0000)
N (0.5000, 0.0000, 0.0000)
Cu (0.5000, 0.5000, 0.5000)
Se (0.0000, 0.0000, 0.0000)
F (0.0000, 0.0000, 0.5000)

DOS(E_F): 0.827 states/eV per atom


Model Q:
A relaxed CuSeN2F crystal. Source: the Alexandria database, functional PBE.

Lattice parameters (Å, degrees): 3.6626 3.6626 5.6881 90.00 90.00 90.00
Last column: magnetic moment on the atom in μB.
Fractional positions:
N (0.0000, 0.5000, 0.0000)  1.15
N (0.5000, 0.0000, 0.0000)  1.15
Cu (0.0000, 0.0000, 0.0000)  0.36
Se (0.0000, 0.0000, 0.5000)  0.36
F (0.5000, 0.5000, 0.5000)  0.02

DOS(E_F): 0.556 states/eV per atom


Q: What are the energies relative to the best structure? A: model P 0.0; model Q 20.0, in kJ/mol of atoms.


Model P:
A relaxed CuSeNF2 crystal. Source: the Alexandria database, functional PBE.

Lattice parameters (Å, degrees): 4.4329 4.4329 3.6675 90.00 90.00 90.00
Fractional positions:
N (0.0000, 0.0000, 0.5000)
Cu (0.5000, 0.5000, 0.5000)
Se (0.0000, 0.0000, 0.0000)
F (0.0000, 0.5000, 0.0000)
F (0.5000, 0.0000, 0.0000)

DOS(E_F): 0.112 states/eV per atom


Model Q:
A relaxed CuSeNF2 crystal. Source: the Alexandria database, functional PBE.

Lattice parameters (Å, degrees): 3.7155 3.7155 4.5526 90.00 90.00 90.00
Last column: magnetic moment on the atom in μB.
Fractional positions:
N (0.0000, 0.0000, 0.5000)  -0.09
Cu (0.0000, 0.0000, 0.0000)  -0.04
Se (0.5000, 0.5000, 0.5000)  0.67
F (0.0000, 0.5000, 0.0000)  0.05
F (0.5000, 0.0000, 0.0000)  0.05

DOS(E_F): 0.618 states/eV per atom


Q: What are the energies relative to the best structure? A: model P 2.6; model Q 0.0, in kJ/mol of atoms.


Model P:
A relaxed CuSe2NF crystal. Source: the Alexandria database, functional PBE.

Lattice parameters (Å, degrees): 4.4359 4.4359 4.5603 90.00 90.00 90.00
Last column: magnetic moment on the atom in μB.
Fractional positions:
N (0.0000, 0.0000, 0.5000)  1.74
Cu (0.5000, 0.5000, 0.5000)  0.15
Se (0.0000, 0.5000, 0.0000)  0.17
Se (0.5000, 0.0000, 0.0000)  0.17
F (0.0000, 0.0000, 0.0000)  0.08

DOS(E_F): 0.812 states/eV per atom


Model Q:
A relaxed CuSe2NF crystal. Source: the Alexandria database, functional PBE.

Lattice parameters (Å, degrees): 4.9113 4.9113 3.5181 90.00 90.00 90.00
Last column: magnetic moment on the atom in μB.
Fractional positions:
N (0.0000, 0.0000, 0.5000)  0.62
Cu (0.0000, 0.0000, 0.0000)  0.14
Se (0.0000, 0.5000, 0.0000)  0.08
Se (0.5000, 0.0000, 0.0000)  0.08
F (0.5000, 0.5000, 0.5000)  0.06

DOS(E_F): 1.185 states/eV per atom


Q: What are the energies relative to the best structure? A: model P 48.5; model Q 0.0, in kJ/mol of atoms.


Model P:
A relaxed CuSiN2F crystal. Source: the Alexandria database, functional PBE.

Lattice parameters (Å, degrees): 3.5822 3.5822 3.6610 90.00 90.00 90.00
Fractional positions:
Si (0.0000, 0.0000, 0.0000)
N (0.0000, 0.5000, 0.0000)
N (0.5000, 0.0000, 0.0000)
Cu (0.5000, 0.5000, 0.5000)
F (0.0000, 0.0000, 0.5000)

DOS(E_F): 0.511 states/eV per atom


Model Q:
A relaxed CuSiN2F crystal. Source: the Alexandria database, functional PBE.

Lattice parameters (Å, degrees): 3.8183 3.8183 3.7466 90.00 90.00 90.00
Fractional positions:
Si (0.5000, 0.5000, 0.5000)
N (0.0000, 0.5000, 0.0000)
N (0.5000, 0.0000, 0.0000)
Cu (0.0000, 0.0000, 0.0000)
F (0.0000, 0.0000, 0.5000)

DOS(E_F): 0.696 states/eV per atom


Q: What are the energies relative to the best structure? A: model P 0.0; model Q 105.6, in kJ/mol of atoms.


Model P:
A relaxed CuSnNF2 crystal. Source: the Alexandria database, functional PBE.

Lattice parameters (Å, degrees): 4.0007 4.0007 4.0168 90.00 90.00 90.00
Last column: magnetic moment on the atom in μB.
Fractional positions:
N (0.0000, 0.0000, 0.5000)  0.33
Sn (0.5000, 0.5000, 0.5000)  0.02
Cu (0.0000, 0.0000, 0.0000)  0.26
F (0.0000, 0.5000, 0.0000)  0.03
F (0.5000, 0.0000, 0.0000)  0.03

DOS(E_F): 0.704 states/eV per atom


Model Q:
A relaxed CuSnNF2 crystal. Source: the Alexandria database, functional PBE.

Lattice parameters (Å, degrees): 4.2407 4.2407 3.9577 90.00 90.00 90.00
Fractional positions:
N (0.0000, 0.0000, 0.5000)
Sn (0.0000, 0.0000, 0.0000)
Cu (0.5000, 0.5000, 0.5000)
F (0.0000, 0.5000, 0.0000)
F (0.5000, 0.0000, 0.0000)

DOS(E_F): 0.297 states/eV per atom


Q: What are the energies relative to the best structure? A: model P 0.0; model Q 1.1, in kJ/mol of atoms.